--- 1 ---
Compound: Li3AsN
Source: Alexandria via LeMat-Bulk
Functional: PBE
Structure: optimized geometry

a = 5.113 Å, b = 5.113 Å, c = 5.113 Å
α = 78.70°, β = 78.70°, γ = 78.70°
Atoms (fractional coordinates):
Li 0.109 0.266 0.625
Li 0.125 0.766 0.609
Li 0.266 0.625 0.109
Li 0.609 0.125 0.766
Li 0.625 0.109 0.266
Li 0.766 0.609 0.125
As 0.132 0.132 0.132
As 0.632 0.632 0.632
N 0.450 0.450 0.450
N 0.950 0.950 0.950

Computed properties:
D(E_F) in states/eV/cell: 6.274
Symmetry: R3c, No. 161

--- 2 ---
Compound: Li3AsN
Source: Alexandria via LeMat-Bulk
Functional: PBE
Structure: optimized geometry

a = 4.841 Å, b = 4.841 Å, c = 4.841 Å
α = 90.00°, β = 90.00°, γ = 90.00°
Atoms (fractional coordinates):
Li 0.000 0.000 0.500
Li 0.000 0.500 0.000
Li 0.500 0.000 0.000
As 0.000 0.000 0.000
N 0.500 0.500 0.500

Computed properties:
D(E_F) in states/eV/cell: 0.000
Symmetry: Pm-3m, No. 221

--- 3 ---
Compound: Li3AsN
Source: Alexandria via LeMat-Bulk
Functional: PBE
Structure: optimized geometry

a = 3.961 Å, b = 3.961 Å, c = 3.961 Å
α = 90.00°, β = 90.00°, γ = 90.00°
Atoms (fractional coordinates):
Li 0.000 0.000 0.500
Li 0.000 0.500 0.000
Li 0.500 0.000 0.000
As 0.500 0.500 0.500
N 0.000 0.000 0.000

Computed properties:
D(E_F) in states/eV/cell: 3.121
Symmetry: Pm-3m, No. 221

Which structure loses on stability? 2 does.

--- 1 ---
Compound: LiAsSe2N
Source: Alexandria via LeMat-Bulk
Functional: PBE
Structure: optimized geometry

a = 4.815 Å, b = 4.815 Å, c = 3.543 Å
α = 90.00°, β = 90.00°, γ = 90.00°
Atoms (fractional coordinates):
Li 0.000 0.000 0.000
As 0.500 0.500 0.500
Se 0.000 0.500 0.000
Se 0.500 0.000 0.000
N 0.000 0.000 0.500

Computed properties:
D(E_F) in states/eV/cell: 2.355
Symmetry: P4/mmm, No. 123

--- 2 ---
Compound: LiAsSe2N
Source: Alexandria via LeMat-Bulk
Functional: PBE
Structure: optimized geometry

a = 5.304 Å, b = 5.304 Å, c = 3.566 Å
α = 90.00°, β = 90.00°, γ = 90.00°
Atoms (fractional coordinates):
Li 0.000 0.000 0.000
As 0.500 0.500 0.500
Se 0.000 0.500 0.500
Se 0.500 0.000 0.500
N 0.500 0.500 0.000

Computed properties:
D(E_F) in states/eV/cell: 3.158
Symmetry: P4/mmm, No. 123

--- 3 ---
Compound: LiAsSe2N
Source: Alexandria via LeMat-Bulk
Functional: PBE
Structure: optimized geometry

a = 4.640 Å, b = 4.640 Å, c = 4.648 Å
α = 90.00°, β = 90.00°, γ = 90.00°
Atoms (fractional coordinates):
Li 0.000 0.000 0.000
As 0.000 0.000 0.500
Se 0.000 0.500 0.000
Se 0.500 0.000 0.000
N 0.500 0.500 0.500

Computed properties:
D(E_F) in states/eV/cell: 3.382
Symmetry: P4/mmm, No. 123

Which structure loses on stability? 3 does.

--- 1 ---
Compound: LiAsSeN2
Source: Alexandria via LeMat-Bulk
Functional: PBE
Structure: optimized geometry

a = 3.947 Å, b = 3.947 Å, c = 4.923 Å
α = 90.00°, β = 90.00°, γ = 90.00°
Atoms (fractional coordinates):
Li 0.000 0.000 0.000
As 0.500 0.500 0.500
Se 0.000 0.000 0.500
N 0.000 0.500 0.000
N 0.500 0.000 0.000

Computed properties:
D(E_F) in states/eV/cell: 2.013
Symmetry: P4/mmm, No. 123

--- 2 ---
Compound: LiAsSeN2
Source: Alexandria via LeMat-Bulk
Functional: PBE
Structure: optimized geometry

a = 3.735 Å, b = 3.735 Å, c = 5.482 Å
α = 90.00°, β = 90.00°, γ = 90.00°
Atoms (fractional coordinates):
Li 0.000 0.000 0.000
As 0.500 0.500 0.500
Se 0.500 0.500 0.000
N 0.000 0.500 0.500
N 0.500 0.000 0.500

Computed properties:
D(E_F) in states/eV/cell: 3.238
Symmetry: P4/mmm, No. 123

Which structure loses on stability? 1 does.

--- 1 ---
Compound: LiTeAsN2
Source: Alexandria via LeMat-Bulk
Functional: PBE
Structure: optimized geometry

a = 3.793 Å, b = 3.793 Å, c = 5.972 Å
α = 90.00°, β = 90.00°, γ = 90.00°
Atoms (fractional coordinates):
Li 0.000 0.000 0.000
Te 0.500 0.500 0.000
As 0.500 0.500 0.500
N 0.000 0.500 0.500
N 0.500 0.000 0.500

Computed properties:
D(E_F) in states/eV/cell: 3.898
Symmetry: P4/mmm, No. 123

--- 2 ---
Compound: LiTeAsN2
Source: Alexandria via LeMat-Bulk
Functional: PBE
Structure: optimized geometry

a = 4.088 Å, b = 4.088 Å, c = 5.376 Å
α = 90.00°, β = 90.00°, γ = 90.00°
Atoms (fractional coordinates):
Li 0.000 0.000 0.000
Te 0.000 0.000 0.500
As 0.500 0.500 0.500
N 0.000 0.500 0.000
N 0.500 0.000 0.000

Computed properties:
D(E_F) in states/eV/cell: 1.135
Symmetry: P4/mmm, No. 123

Which structure loses on stability? 2 does.

--- 1 ---
Compound: Na2LiAs2
Source: Alexandria via LeMat-Bulk
Functional: PBE
Structure: optimized geometry

a = 5.981 Å, b = 5.981 Å, c = 10.334 Å
α = 117.11°, β = 117.11°, γ = 43.18°
Atoms (fractional coordinates):
Na 0.008 0.008 0.180
Na 0.192 0.192 0.601
Na 0.808 0.808 0.399
Na 0.992 0.992 0.820
Li 0.274 0.274 0.127
Li 0.726 0.726 0.873
As 0.373 0.373 0.939
As 0.489 0.489 0.611
As 0.511 0.511 0.389
As 0.627 0.627 0.061

Computed properties:
D(E_F) in states/eV/cell: 3.176
Symmetry: C2/m, No. 12

--- 2 ---
Compound: Na2LiAs2
Source: Alexandria via LeMat-Bulk
Functional: PBE
Structure: optimized geometry

a = 8.658 Å, b = 8.658 Å, c = 2.904 Å
α = 90.00°, β = 90.00°, γ = 90.00°
Atoms (fractional coordinates):
Na 0.120 0.380 0.000
Na 0.380 0.880 0.000
Na 0.620 0.120 0.000
Na 0.880 0.620 0.000
Li 0.000 0.000 0.000
Li 0.500 0.500 0.000
As 0.179 0.679 0.500
As 0.321 0.179 0.500
As 0.679 0.821 0.500
As 0.821 0.321 0.500

Computed properties:
D(E_F) in states/eV/cell: 3.743
Symmetry: P4/mbm, No. 127

--- 3 ---
Compound: Na2LiAs2
Source: Alexandria via LeMat-Bulk
Functional: PBE
Structure: optimized geometry

a = 6.949 Å, b = 6.949 Å, c = 6.949 Å
α = 142.87°, β = 142.87°, γ = 53.52°
Atoms (fractional coordinates):
Na 0.250 0.750 0.500
Na 0.750 0.250 0.500
Li 0.000 0.000 0.000
As 0.405 0.405 0.000
As 0.595 0.595 0.000

Computed properties:
D(E_F) in states/eV/cell: 1.631
Symmetry: I4/mmm, No. 139

--- 4 ---
Compound: Na2LiAs2
Source: Alexandria via LeMat-Bulk
Functional: PBE
Structure: optimized geometry

a = 6.982 Å, b = 6.982 Å, c = 4.546 Å
α = 90.00°, β = 90.00°, γ = 90.00°
Atoms (fractional coordinates):
Na 0.172 0.328 0.000
Na 0.328 0.828 0.000
Na 0.672 0.172 0.000
Na 0.828 0.672 0.000
Li 0.000 0.000 0.500
Li 0.500 0.500 0.500
As 0.124 0.624 0.500
As 0.376 0.124 0.500
As 0.624 0.876 0.500
As 0.876 0.376 0.500

Computed properties:
D(E_F) in states/eV/cell: 3.312
Symmetry: P4/mbm, No. 127

Which structure loses on stability? 2 does.

--- 1 ---
Compound: NaLiAs
Source: Alexandria via LeMat-Bulk
Functional: PBE
Structure: optimized geometry

a = 5.400 Å, b = 5.400 Å, c = 5.400 Å
α = 141.20°, β = 141.20°, γ = 56.03°
Atoms (fractional coordinates):
Na 0.000 0.000 0.000
Li 0.289 0.289 0.000
As 0.685 0.685 0.000

Computed properties:
D(E_F) in states/eV/cell: 0.950
Symmetry: I4mm, No. 107

--- 2 ---
Compound: NaLiAs
Source: Alexandria via LeMat-Bulk
Functional: PBE
Structure: optimized geometry

a = 6.862 Å, b = 6.862 Å, c = 6.862 Å
α = 144.80°, β = 131.21°, γ = 61.58°
Atoms (fractional coordinates):
Na 0.210 0.210 0.000
Na 0.790 0.790 0.000
Li 0.288 0.500 0.788
Li 0.712 0.500 0.212
As 0.392 0.892 0.500
As 0.608 0.108 0.500

Computed properties:
D(E_F) in states/eV/cell: 1.473
Symmetry: Immm, No. 71

--- 3 ---
Compound: NaLiAs
Source: Alexandria via LeMat-Bulk
Functional: PBE
Structure: optimized geometry

a = 4.569 Å, b = 4.569 Å, c = 3.274 Å
α = 90.00°, β = 90.00°, γ = 120.00°
Atoms (fractional coordinates):
Na 0.000 0.000 0.000
Li 0.333 0.667 0.503
As 0.667 0.333 0.499

Computed properties:
D(E_F) in states/eV/cell: 1.683
Symmetry: P3m1, No. 156

Which structure loses on stability? 1 does.

--- 1 ---
Compound: NaLiAs
Source: Alexandria via LeMat-Bulk
Functional: PBE
Structure: optimized geometry

a = 4.674 Å, b = 4.674 Å, c = 4.674 Å
α = 60.00°, β = 60.00°, γ = 60.00°
Atoms (fractional coordinates):
Na 0.000 0.000 0.000
Li 0.500 0.500 0.500
As 0.250 0.250 0.250

Computed properties:
D(E_F) in states/eV/cell: 3.258
Symmetry: F-43m, No. 216

--- 2 ---
Compound: NaLiAs
Source: Alexandria via LeMat-Bulk
Functional: PBE
Structure: optimized geometry

a = 8.265 Å, b = 8.265 Å, c = 4.888 Å
α = 90.00°, β = 90.00°, γ = 157.93°
Atoms (fractional coordinates):
Na 0.049 0.951 0.750
Na 0.951 0.049 0.250
Li 0.231 0.769 0.750
Li 0.769 0.231 0.250
As 0.139 0.861 0.250
As 0.861 0.139 0.750

Computed properties:
D(E_F) in states/eV/cell: 3.957
Symmetry: Cmcm, No. 63

--- 3 ---
Compound: NaLiAs
Source: Alexandria via LeMat-Bulk
Functional: PBE
Structure: optimized geometry

a = 4.920 Å, b = 4.920 Å, c = 7.341 Å
α = 90.00°, β = 90.00°, γ = 120.00°
Atoms (fractional coordinates):
Na 0.000 0.000 0.244
Na 0.000 0.000 0.756
Li 0.333 0.667 0.500
Li 0.667 0.333 0.000
As 0.333 0.667 0.170
As 0.333 0.667 0.830

Computed properties:
D(E_F) in states/eV/cell: 2.370
Symmetry: P-6m2, No. 187

Which structure loses on stability? 1 does.

--- 1 ---
Compound: Na3LiAs
Source: Alexandria via LeMat-Bulk
Functional: PBE
Structure: optimized geometry

a = 5.613 Å, b = 5.613 Å, c = 5.613 Å
α = 90.00°, β = 90.00°, γ = 90.00°
Atoms (fractional coordinates):
Na 0.000 0.000 0.500
Na 0.000 0.500 0.000
Na 0.500 0.000 0.000
Li 0.500 0.500 0.500
As 0.000 0.000 0.000

Computed properties:
D(E_F) in states/eV/cell: 1.977
Symmetry: Pm-3m, No. 221

--- 2 ---
Compound: Na3LiAs
Source: Alexandria via LeMat-Bulk
Functional: PBE
Structure: optimized geometry

a = 7.253 Å, b = 7.253 Å, c = 7.253 Å
α = 83.83°, β = 120.73°, γ = 126.61°
Atoms (fractional coordinates):
Na 0.172 0.005 0.667
Na 0.247 0.023 0.270
Na 0.247 0.477 0.725
Na 0.338 0.505 0.333
Na 0.753 0.523 0.275
Na 0.753 0.977 0.730
Li 0.255 0.755 0.000
Li 0.755 0.255 0.000
As 0.742 0.505 0.737
As 0.768 0.005 0.263

Computed properties:
D(E_F) in states/eV/cell: 4.347
Symmetry: Ima2, No. 46

Which structure loses on stability? 1 does.

--- 1 ---
Compound: NaLi3As
Source: Alexandria via LeMat-Bulk
Functional: PBE
Structure: optimized geometry

a = 4.672 Å, b = 4.672 Å, c = 4.672 Å
α = 90.00°, β = 90.00°, γ = 90.00°
Atoms (fractional coordinates):
Na 0.000 0.000 0.000
Li 0.000 0.000 0.500
Li 0.000 0.500 0.000
Li 0.500 0.000 0.000
As 0.500 0.500 0.500

Computed properties:
D(E_F) in states/eV/cell: 1.162
Symmetry: Pm-3m, No. 221

--- 2 ---
Compound: NaLi3As
Source: Alexandria via LeMat-Bulk
Functional: PBE
Structure: optimized geometry

a = 4.750 Å, b = 4.930 Å, c = 4.930 Å
α = 99.19°, β = 90.00°, γ = 90.00°
Atoms (fractional coordinates):
Na 0.000 0.000 0.000
Li 0.000 0.459 0.459
Li 0.500 0.443 0.855
Li 0.500 0.855 0.443
As 0.500 0.333 0.333

Computed properties:
D(E_F) in states/eV/cell: 1.962
Symmetry: Amm2, No. 38

Which structure loses on stability? 1 does.

--- 1 ---
Compound: NaLiNiAs2
Source: Alexandria via LeMat-Bulk
Functional: PBE
Structure: optimized geometry

a = 4.612 Å, b = 4.612 Å, c = 4.682 Å
α = 90.00°, β = 90.00°, γ = 90.00°
Atoms (fractional coordinates):
Na 0.000 0.000 0.000
Li 0.500 0.500 0.000
Ni 0.500 0.500 0.500
As 0.000 0.500 0.500
As 0.500 0.000 0.500

Computed properties:
D(E_F) in states/eV/cell: 3.088
Symmetry: P4/mmm, No. 123

--- 2 ---
Compound: NaLiNiAs2
Source: Alexandria via LeMat-Bulk
Functional: PBE
Structure: optimized geometry

a = 4.989 Å, b = 4.989 Å, c = 4.567 Å
α = 90.00°, β = 90.00°, γ = 90.00°
Atoms (fractional coordinates):
Na 0.000 0.000 0.000
Li 0.500 0.500 0.500
Ni 0.000 0.000 0.500
As 0.000 0.500 0.000
As 0.500 0.000 0.000

Computed properties:
D(E_F) in states/eV/cell: 3.316
Symmetry: P4/mmm, No. 123

Which structure loses on stability? 2 does.

--- 1 ---
Compound: NaLiAsPd
Source: Alexandria via LeMat-Bulk
Functional: PBE
Structure: optimized geometry

a = 4.518 Å, b = 4.518 Å, c = 4.518 Å
α = 60.00°, β = 60.00°, γ = 60.00°
Atoms (fractional coordinates):
Na 0.000 0.000 0.000
Li 0.250 0.250 0.250
As 0.500 0.500 0.500
Pd 0.750 0.750 0.750

Computed properties:
D(E_F) in states/eV/cell: 2.069
Symmetry: F-43m, No. 216

--- 2 ---
Compound: NaLiAsPd
Source: Alexandria via LeMat-Bulk
Functional: PBE
Structure: optimized geometry

a = 5.596 Å, b = 5.596 Å, c = 5.596 Å
α = 45.15°, β = 45.15°, γ = 45.15°
Atoms (fractional coordinates):
Na 0.000 0.000 0.000
Li 0.799 0.799 0.799
As 0.204 0.204 0.204
Pd 0.535 0.535 0.535

Computed properties:
D(E_F) in states/eV/cell: 2.232
Symmetry: R3m, No. 160

Which structure loses on stability? 1 does.